# 1
# Mg2AlAu6, optimized geometry, DFT PBE-GGA
data_Mg2AlAu6
_chemical_formula_sum 'Mg4 Al2 Au12'
_cell_length_a 8.441
_cell_length_b 8.441
_cell_length_c 4.420
_cell_angle_alpha 90.00
_cell_angle_beta 90.00
_cell_angle_gamma 90.00
_space_group_name_H-M_alt 'P 1'
_space_group_IT_number 1
loop_
_space_group_symop_operation_xyz
'x,y,z'
loop_
_atom_site_label
_atom_site_type_symbol
_atom_site_fract_x
_atom_site_fract_y
_atom_site_fract_z
_atom_site_occupancy
Mg1 Mg 0.204 0.204 0.000 1
Mg2 Mg 0.296 0.704 0.500 1
Mg3 Mg 0.704 0.296 0.500 1
Mg4 Mg 0.796 0.796 0.000 1
Al1 Al 0.000 0.000 0.500 1
Al2 Al 0.500 0.500 0.000 1
Au1 Au 0.032 0.324 0.500 1
Au2 Au 0.125 0.875 0.000 1
Au3 Au 0.176 0.532 0.000 1
Au4 Au 0.324 0.032 0.500 1
Au5 Au 0.375 0.375 0.500 1
Au6 Au 0.468 0.824 0.000 1
Au7 Au 0.532 0.176 0.000 1
Au8 Au 0.625 0.625 0.500 1
Au9 Au 0.676 0.968 0.500 1
Au10 Au 0.824 0.468 0.000 1
Au11 Au 0.875 0.125 0.000 1
Au12 Au 0.968 0.676 0.500 1
# **Raw total energy**: -3.3941 eV per atom
# **Formation enthalpy at 0 K**: -0.439 eV per atom
# **Magnetization**: 0.00 μB/f.u.
# **Calculated density**: 13.3 g cm⁻³
# **Space-group type**: P4_2/mnm (136)
# **Crystal system**: tetragonal



# 2
# Mg2AlAuN, optimized geometry, DFT PBE-GGA
data_Mg2AlAuN
_chemical_formula_sum 'Mg2 Al1 Au1 N1'
_cell_length_a 4.338
_cell_length_b 4.338
_cell_length_c 3.887
_cell_angle_alpha 90.00
_cell_angle_beta 90.00
_cell_angle_gamma 90.00
_space_group_name_H-M_alt 'P 1'
_space_group_IT_number 1
loop_
_space_group_symop_operation_xyz
'x,y,z'
loop_
_atom_site_label
_atom_site_type_symbol
_atom_site_fract_x
_atom_site_fract_y
_atom_site_fract_z
_atom_site_occupancy
Mg1 Mg 0.000 0.500 0.000 1
Mg2 Mg 0.500 0.000 0.000 1
Al1 Al 0.000 0.000 0.500 1
Au1 Au 0.500 0.500 0.500 1
N1 N 0.000 0.000 0.000 1
# **Raw total energy**: -4.2460 eV per atom
# **Magnetization**: 0.00 μB/f.u.
# **Formation energy from raw total energies**: -0.539 eV/atom
# **Calculated density**: 6.5 g cm⁻³
# **Space-group type**: P4/mmm (123)
# **Crystal system**: tetragonal



# 3
# Na2MgAl2Au5, optimized geometry, DFT PBE-GGA
data_Na2MgAl2Au5
_chemical_formula_sum 'Na4 Mg2 Al4 Au10'
_cell_length_a 11.111
_cell_length_b 11.111
_cell_length_c 3.194
_cell_angle_alpha 90.00
_cell_angle_beta 90.00
_cell_angle_gamma 90.00
_space_group_name_H-M_alt 'P 1'
_space_group_IT_number 1
loop_
_space_group_symop_operation_xyz
'x,y,z'
loop_
_atom_site_label
_atom_site_type_symbol
_atom_site_fract_x
_atom_site_fract_y
_atom_site_fract_z
_atom_site_occupancy
Na1 Na 0.172 0.328 0.000 1
Na2 Na 0.328 0.828 0.000 1
Na3 Na 0.672 0.172 0.000 1
Na4 Na 0.828 0.672 0.000 1
Mg1 Mg 0.000 0.000 0.000 1
Mg2 Mg 0.500 0.500 0.000 1
Al1 Al 0.131 0.631 0.000 1
Al2 Al 0.369 0.131 0.000 1
Al3 Al 0.631 0.869 0.000 1
Al4 Al 0.869 0.369 0.000 1
Au1 Au 0.000 0.500 0.500 1
Au2 Au 0.067 0.805 0.500 1
Au3 Au 0.195 0.067 0.500 1
Au4 Au 0.305 0.567 0.500 1
Au5 Au 0.433 0.305 0.500 1
Au6 Au 0.500 0.000 0.500 1
Au7 Au 0.567 0.695 0.500 1
Au8 Au 0.695 0.433 0.500 1
Au9 Au 0.805 0.933 0.500 1
Au10 Au 0.933 0.195 0.500 1
# **Raw total energy**: -3.2231 eV per atom
# **Formation enthalpy at 0 K**: -0.413 eV per atom
# **Magnetization**: 0.00 μB/f.u.
# **Calculated density**: 9.3 g cm⁻³
# **Space-group type**: P4/mbm (127)
# **Crystal system**: tetragonal



# 4
# NaMgAl2Au2, optimized geometry, DFT PBE-GGA
data_NaMgAl2Au2
_chemical_formula_sum 'Na1 Mg1 Al2 Au2'
_cell_length_a 4.530
_cell_length_b 4.530
_cell_length_c 6.481
_cell_angle_alpha 90.00
_cell_angle_beta 90.00
_cell_angle_gamma 120.00
_space_group_name_H-M_alt 'P 1'
_space_group_IT_number 1
loop_
_space_group_symop_operation_xyz
'x,y,z'
loop_
_atom_site_label
_atom_site_type_symbol
_atom_site_fract_x
_atom_site_fract_y
_atom_site_fract_z
_atom_site_occupancy
Na1 Na 0.000 0.000 0.000 1
Mg1 Mg 0.000 0.000 0.500 1
Al1 Al 0.333 0.667 0.725 1
Al2 Al 0.667 0.333 0.275 1
Au1 Au 0.333 0.667 0.284 1
Au2 Au 0.667 0.333 0.716 1
# **Raw total energy**: -3.2019 eV per atom
# **Formation enthalpy at 0 K**: -0.376 eV per atom
# **Magnetization**: 0.00 μB/f.u.
# **Calculated density**: 7.1 g cm⁻³
# **Space-group type**: P-3m1 (164)
# **Crystal system**: trigonal